[1]
{"formula": "Ca3La", "functional": "SCAN", "state": "PBEsol geometry", "lattice": [[6.012, 0.000, 0.000], [-3.006, 5.212, 0.043], [0.000, 3.427, 4.939]], "species": ["Ca", "La", "Ca", "Ca"], "fractional_positions": [[0.500, 0.000, 0.500], [0.000, 0.000, 0.000], [0.250, 0.500, 0.250], [0.750, 0.500, 0.750]], "delta_e_f_ev_per_atom": 0.089, "polymorph_energy_ev_per_atom": 0.059}



[2]
{"formula": "CaLa2", "functional": "SCAN", "state": "PBEsol geometry", "lattice": [[3.670, 0.000, 0.000], [0.000, 6.002, 0.000], [-1.835, 0.000, 9.911]], "species": ["La", "Ca", "La", "La", "La", "Ca"], "fractional_positions": [[0.894, 0.250, 0.789], [0.218, 0.250, 0.436], [0.448, 0.750, 0.896], [0.552, 0.250, 0.104], [0.106, 0.750, 0.211], [0.782, 0.750, 0.564]], "delta_e_f_ev_per_atom": 0.047, "polymorph_energy_ev_per_atom": 0.022}



[3]
{"formula": "CaLa", "functional": "SCAN", "state": "PBEsol geometry", "lattice": [[-1.789, 2.903, -1.447], [-2.200, 0.128, 2.977], [6.991, 6.739, 4.877]], "species": ["Ca", "La", "La", "Ca"], "fractional_positions": [[0.000, 0.500, 0.868], [0.000, 0.500, 0.389], [0.500, 0.000, 0.611], [0.500, 0.000, 0.132]], "delta_e_f_ev_per_atom": 0.025, "polymorph_energy_ev_per_atom": 0.000}



[4]
{"formula": "Ca3La", "functional": "SCAN", "state": "PBEsol geometry", "lattice": [[4.119, 0.000, 0.000], [0.000, 6.084, 0.000], [-2.060, -3.042, 6.093]], "species": ["Ca", "Ca", "Ca", "La"], "fractional_positions": [[0.753, 0.753, 0.506], [0.500, 0.000, 0.000], [0.247, 0.247, 0.494], [0.000, 0.500, 0.000]], "delta_e_f_ev_per_atom": 0.084, "polymorph_energy_ev_per_atom": 0.055}



[5]
{"formula": "CaLa4", "functional": "SCAN", "state": "PBEsol geometry", "lattice": [[6.380, 0.000, 0.000], [-2.127, 6.016, 0.000], [-2.127, -3.008, 5.210]], "species": ["Ca", "La", "La", "La", "La"], "fractional_positions": [[0.000, 0.000, 0.000], [0.500, 0.000, 0.000], [0.000, 0.000, 0.500], [0.500, 0.500, 0.500], [0.000, 0.500, 0.000]], "delta_e_f_ev_per_atom": 0.767}



[6]
{"formula": "CaLa", "functional": "SCAN", "state": "PBEsol geometry", "lattice": [[-0.264, -2.936, 2.232], [2.461, 2.662, 0.729], [-4.236, 2.979, 3.417]], "species": ["La", "Ca"], "fractional_positions": [[0.333, 0.667, 0.000], [0.000, 0.000, 0.500]], "delta_e_f_ev_per_atom": 0.078, "polymorph_energy_ev_per_atom": 0.054}



[7]
{"formula": "Ca3La", "functional": "SCAN", "state": "PBEsol geometry", "lattice": [[3.741, 0.000, 0.000], [0.000, 6.187, 0.000], [0.000, 0.000, 6.638]], "species": ["Ca", "La", "Ca", "Ca"], "fractional_positions": [[0.000, 0.000, 0.008], [0.000, 0.500, 0.330], [0.500, 0.500, 0.831], [0.500, 0.000, 0.497]], "delta_e_f_ev_per_atom": 0.062, "polymorph_energy_ev_per_atom": 0.033}



[8]
{"formula": "CaLa", "functional": "SCAN", "state": "PBEsol geometry", "lattice": [[4.062, 0.000, 0.000], [0.000, 6.102, 0.000], [-2.031, -3.051, 5.995]], "species": ["La", "Ca", "La", "Ca"], "fractional_positions": [[0.628, 0.378, 0.256], [0.127, 0.877, 0.254], [0.372, 0.622, 0.744], [0.873, 0.123, 0.746]], "delta_e_f_ev_per_atom": 0.087, "polymorph_energy_ev_per_atom": 0.063}